Ca2CoNiPd | PBE | relaxed

Values from the calculation:
For the total magnetic moment, the calculation gives 1.73 μB/f.u. The value obtained for the density of states at the Fermi level is 5.74 states/eV/cell. The space-group type is No. 123. For the formation enthalpy at 0 K, the calculation gives 511 meV per atom. The value obtained for the calculated volume is 24.4 Å³ per atom.

Structure (POSCAR):
```
Ca2CoNiPd
1.0
5.185 0.000 0.000
0.000 5.185 0.000
0.000 0.000 4.540
Ca Co Ni Pd
2 1 1 1
direct
0.000 0.500 0.000
0.500 0.000 0.000
0.000 0.000 0.000
0.500 0.500 0.500
0.000 0.000 0.500
```

=====

CaPmCoNi | PBE | relaxed

Values from the calculation:
For the total magnetic moment, the calculation gives 0.52 μB/f.u. The value obtained for the density of states at the Fermi level is 3.03 states/eV/cell. The space-group type is No. 216. For the formation enthalpy at 0 K, the calculation gives 49 meV per atom. The value obtained for the calculated volume is 20.1 Å³ per atom.

Structure (POSCAR):
```
CaPmCoNi
1.0
0.000 3.423 3.423
3.423 0.000 3.423
3.423 3.423 0.000
Ca Pm Co Ni
1 1 1 1
direct
0.000 0.000 0.000
0.500 0.500 0.500
0.250 0.250 0.250
0.750 0.750 0.750
```

=====

Ca2CoNiPt | PBE | relaxed

Values from the calculation:
For the total magnetic moment, the calculation gives 1.08 μB/f.u. The value obtained for the density of states at the Fermi level is 5.40 states/eV/cell. The space-group type is No. 123. For the formation enthalpy at 0 K, the calculation gives 412 meV per atom. The value obtained for the calculated volume is 24.1 Å³ per atom.

Structure (POSCAR):
```
Ca2CoNiPt
1.0
5.181 0.000 0.000
0.000 5.181 0.000
0.000 0.000 4.486
Ca Co Ni Pt
2 1 1 1
direct
0.000 0.500 0.000
0.500 0.000 0.000
0.000 0.000 0.000
0.500 0.500 0.500
0.000 0.000 0.500
```

=====

RbCaCoNi2 | PBE | relaxed

Values from the calculation:
For the total magnetic moment, the calculation gives 1.49 μB/f.u. The value obtained for the density of states at the Fermi level is 6.09 states/eV/cell. The space-group type is No. 123. For the formation enthalpy at 0 K, the calculation gives 1421 meV per atom. The value obtained for the calculated volume is 27.3 Å³ per atom.

Structure (POSCAR):
```
RbCaCoNi2
1.0
5.113 0.000 0.000
0.000 5.113 0.000
0.000 0.000 5.228
Rb Ca Co Ni
1 1 1 2
direct
0.000 0.000 0.000
0.500 0.500 0.500
0.500 0.500 0.000
0.000 0.500 0.500
0.500 0.000 0.500
```

=====

SrCaCo2Ni | PBE | relaxed

Values from the calculation:
For the total magnetic moment, the calculation gives 2.44 μB/f.u. The value obtained for the density of states at the Fermi level is 6.58 states/eV/cell. The space-group type is No. 123. For the formation enthalpy at 0 K, the calculation gives 1439 meV per atom. The value obtained for the calculated volume is 24.3 Å³ per atom.

Structure (POSCAR):
```
SrCaCo2Ni
1.0
4.944 0.000 0.000
0.000 4.944 0.000
0.000 0.000 4.979
Sr Ca Co Ni
1 1 2 1
direct
0.000 0.000 0.000
0.500 0.500 0.500
0.000 0.500 0.000
0.500 0.000 0.000
0.000 0.000 0.500
```

=====

Sr2CaCoNi | PBE | relaxed

Values from the calculation:
For the total magnetic moment, the calculation gives 1.67 μB/f.u. The value obtained for the density of states at the Fermi level is 6.01 states/eV/cell. The space-group type is No. 123. For the formation enthalpy at 0 K, the calculation gives 1206 meV per atom. The value obtained for the calculated volume is 36.1 Å³ per atom.

Structure (POSCAR):
```
Sr2CaCoNi
1.0
6.358 0.000 0.000
0.000 6.358 0.000
0.000 0.000 4.469
Sr Ca Co Ni
2 1 1 1
direct
0.000 0.500 0.000
0.500 0.000 0.000
0.000 0.000 0.000
0.500 0.500 0.500
0.000 0.000 0.500
```

=====

Ca2Zn3CoNi12 | PBE | relaxed

Values from the calculation:
For the total magnetic moment, the calculation gives 4.90 μB/f.u. The value obtained for the density of states at the Fermi level is 24.82 states/eV/cell. The space-group type is No. 166. For the formation enthalpy at 0 K, the calculation gives 212 meV per atom. The value obtained for the calculated volume is 14.9 Å³ per atom.

Structure (POSCAR):
```
Ca2Zn3CoNi12
1.0
2.985 1.723 8.687
-2.985 1.723 8.687
0.000 -3.447 8.687
Ca Zn Co Ni
2 3 1 12
direct
0.154 0.154 0.154
0.846 0.846 0.846
0.000 0.500 0.500
0.500 0.000 0.500
0.500 0.500 0.000
0.500 0.500 0.500
0.078 0.078 0.686
0.078 0.686 0.078
0.155 0.567 0.567
0.314 0.922 0.922
0.433 0.433 0.845
0.433 0.845 0.433
0.567 0.155 0.567
0.567 0.567 0.155
0.686 0.078 0.078
0.845 0.433 0.433
0.922 0.314 0.922
0.922 0.922 0.314
```

=====

CaZrCoNi2 | PBE | relaxed

Values from the calculation:
For the total magnetic moment, the calculation gives 0.65 μB/f.u. The value obtained for the density of states at the Fermi level is 4.01 states/eV/cell. The space-group type is No. 123. For the formation enthalpy at 0 K, the calculation gives 601 meV per atom. The value obtained for the calculated volume is 20.8 Å³ per atom.

Structure (POSCAR):
```
CaZrCoNi2
1.0
4.752 0.000 0.000
0.000 4.752 0.000
0.000 0.000 4.607
Ca Zr Co Ni
1 1 1 2
direct
0.000 0.000 0.000
0.500 0.500 0.500
0.500 0.500 0.000
0.000 0.500 0.500
0.500 0.000 0.500
```

=====

CaNpCo4 | PBE | relaxed

Values from the calculation:
For the total magnetic moment, the calculation gives 0.51 μB/f.u. The value obtained for the density of states at the Fermi level is 10.67 states/eV/cell. The space-group type is No. 216. For the formation enthalpy at 0 K, the calculation gives 59 meV per atom. The value obtained for the calculated volume is 15.0 Å³ per atom.

Structure (POSCAR):
```
CaNpCo4
1.0
0.000 3.555 3.555
3.555 0.000 3.555
3.555 3.555 0.000
Ca Np Co
1 1 4
direct
0.000 0.000 0.000
0.250 0.250 0.250
0.126 0.625 0.625
0.625 0.126 0.625
0.625 0.625 0.126
0.625 0.625 0.625
```

=====

> Among the records above, which one has the lowest formation enthalpy at 0 K?

CaPmCoNi

=====

> formation enthalpy at 0 K of number 8 (CaZrCoNi2)?

601 meV per atom

=====

> Which of these has the lowest calculated volume?

Ca2Zn3CoNi12